# Li2NiP2O8 | Alexandria | PBE with a Hubbard U | relaxed
data_Li2NiP2O8
_cell_length_a 4.995
_cell_length_b 4.995
_cell_length_c 6.305
_cell_angle_alpha 89.56
_cell_angle_beta 89.56
_cell_angle_gamma 65.02
_symmetry_space_group_name_H-M 'P 1'
_symmetry_Int_Tables_number 1
loop_
_symmetry_equiv_pos_as_xyz
'x,y,z'
loop_
_atom_site_label
_atom_site_type_symbol
_atom_site_fract_x
_atom_site_fract_y
_atom_site_fract_z
_atom_site_occupancy
O1 O 0.734 0.734 0.068 1
O2 O 0.273 0.806 0.762 1
O3 O 0.257 0.257 0.958 1
Li1 Li 0.495 0.495 0.508 1
Ni1 Ni 0.499 0.499 0.993 1
O4 O 0.740 0.740 0.429 1
O5 O 0.806 0.273 0.762 1
P1 P 0.862 0.862 0.242 1
O6 O 0.737 0.201 0.238 1
Li2 Li 0.174 0.174 0.256 1
O7 O 0.201 0.737 0.238 1
O8 O 0.247 0.247 0.552 1
P2 P 0.148 0.148 0.760 1
# M_tot	4.01	Bohr magnetons per cell
# electronic total energy	-6.181	eV/atom
# crystal system	monoclinic
# calculated volume	142.6	Å³/f.u.